Entry from Alexandria via LeMat-Bulk: an optimized crystal structure of RbMn2S (PBE-GGA). Values from VASP.

Structure (Quantum ESPRESSO input):
```
&SYSTEM
  ibrav = 0, nat = 8, ntyp = 3
/
ATOMIC_SPECIES
S 32.06 S.upf
Mn 54.94 Mn.upf
Rb 85.47 Rb.upf
CELL_PARAMETERS angstrom
-3.5264 0.7572 4.0960
0.4258 -5.2731 1.3414
4.0012 -0.6685 7.2044
ATOMIC_POSITIONS crystal
S 0.5000 0.5000 0.0000
S 0.2500 0.7500 0.5000
Mn 0.3750 0.1250 0.2500
Mn 0.3750 0.6250 0.2500
Mn 0.3750 0.6250 0.7500
Mn 0.8750 0.6250 0.7500
Rb 0.0000 0.0000 0.0000
Rb 0.7500 0.2500 0.5000
```

Properties
Raw formation energy (eV per formula unit): 1.0
Volume (Å³/atom): 27.2
N(E_F) (states/eV/cell): 6.1
Space group: No. 141